A:
This record from the Alexandria database describes a relaxed structure of BaSmTe2. The functional is PBE-GGA.

## Properties
As for the volume: 441.5 Å³ per cell.

```
data_BaSmTe2
_chemical_formula_sum 'Ba3 Sm3 Te6'
_cell_length_a 4.5464
_cell_length_b 4.5464
_cell_length_c 24.6630
_cell_angle_alpha 90.00
_cell_angle_beta 90.00
_cell_angle_gamma 120.00
_symmetry_space_group_name_H-M 'R 3 m'
_symmetry_Int_Tables_number 160
_symmetry_space_group_name_Hall 'R 3 -2"'
loop_
_atom_site_label
_atom_site_type_symbol
_atom_site_fract_x
_atom_site_fract_y
_atom_site_fract_z
Ba1 Ba 0.0000 0.0000 0.0000
Sm1 Sm 0.0000 0.0000 0.1725
Te1 Te 0.0000 0.0000 0.5768
Te2 Te 0.0000 0.0000 0.7637
```

B:
This record from the Alexandria database describes a relaxed structure of BaSmTe2. The functional is PBE-GGA.

## Properties
As for the volume: 438.8 Å³ per cell.

```
data_BaSmTe2
_chemical_formula_sum 'Ba3 Sm3 Te6'
_cell_length_a 4.6294
_cell_length_b 4.6294
_cell_length_c 23.6409
_cell_angle_alpha 90.00
_cell_angle_beta 90.00
_cell_angle_gamma 120.00
_symmetry_space_group_name_H-M 'R -3 m'
_symmetry_Int_Tables_number 166
_symmetry_space_group_name_Hall '-R 3 2"'
loop_
_atom_site_label
_atom_site_type_symbol
_atom_site_fract_x
_atom_site_fract_y
_atom_site_fract_z
Ba1 Ba 0.0000 0.0000 0.0000
Sm1 Sm 0.0000 0.0000 0.5000
Te1 Te 0.0000 0.0000 0.2404
```

Stability verdict: B, ahead by 45 meV per atom

A:
This record from the Alexandria database describes a relaxed structure of BaSm2Th. The functional is PBE-GGA.

## Properties
As for the volume: 152.6 Å³ per cell.

```
data_BaSm2Th
_chemical_formula_sum 'Ba1 Sm2 Th1'
_cell_length_a 3.7087
_cell_length_b 3.7087
_cell_length_c 11.0931
_cell_angle_alpha 90.00
_cell_angle_beta 90.00
_cell_angle_gamma 90.00
_symmetry_space_group_name_H-M 'P 4/m m m'
_symmetry_Int_Tables_number 123
_symmetry_space_group_name_Hall '-P 4 2'
loop_
_atom_site_label
_atom_site_type_symbol
_atom_site_fract_x
_atom_site_fract_y
_atom_site_fract_z
Ba1 Ba 0.0000 0.0000 0.0000
Sm1 Sm 0.5000 0.5000 0.2887
Th1 Th 0.0000 0.0000 0.5000
```

B:
This record from the Alexandria database describes a relaxed structure of BaSm2Th. The functional is PBE-GGA.

## Properties
As for the volume: 451.6 Å³ per cell.

```
data_BaSm2Th
_chemical_formula_sum 'Ba3 Sm6 Th3'
_cell_length_a 3.6690
_cell_length_b 3.6690
_cell_length_c 38.7417
_cell_angle_alpha 90.00
_cell_angle_beta 90.00
_cell_angle_gamma 120.00
_symmetry_space_group_name_H-M 'R -3 m'
_symmetry_Int_Tables_number 166
_symmetry_space_group_name_Hall '-R 3 2"'
loop_
_atom_site_label
_atom_site_type_symbol
_atom_site_fract_x
_atom_site_fract_y
_atom_site_fract_z
Ba1 Ba 0.0000 0.0000 0.0000
Sm1 Sm 0.0000 0.0000 0.0946
Th1 Th 0.0000 0.0000 0.5000
```

Stability verdict: A, ahead by 74 meV per atom